(1)
Computed, not measured: a relaxed structure of KAuCl4 at the GGA-PBEsol level of DFT.

Summary:
The energy relative to the elements, uncorrected comes out at -907.1 meV per atom. The calculation puts the magnetization at 0.00 μB/cell.

Unit cell a=8.787 b=6.294 c=12.016 alpha=90.00 beta=95.85 gamma=90.00
Atoms (fractional coordinates):
K: 0.210 0.055 0.183
K: 0.210 0.445 0.683
K: 0.790 0.555 0.317
K: 0.790 0.945 0.817
Au: 0.000 0.000 0.500
Au: 0.000 0.500 0.000
Au: 0.500 0.000 0.500
Au: 0.500 0.500 0.000
Cl: 0.091 0.555 0.183
Cl: 0.091 0.945 0.683
Cl: 0.131 0.706 0.450
Cl: 0.131 0.794 0.950
Cl: 0.328 0.244 0.934
Cl: 0.328 0.256 0.434
Cl: 0.497 0.134 0.676
Cl: 0.497 0.366 0.176
Cl: 0.503 0.634 0.824
Cl: 0.503 0.866 0.324
Cl: 0.672 0.744 0.566
Cl: 0.672 0.756 0.066
Cl: 0.869 0.206 0.050
Cl: 0.869 0.294 0.550
Cl: 0.909 0.055 0.317
Cl: 0.909 0.445 0.817



(2)
Computed, not measured: a relaxed structure of BaHgP at the GGA-PBEsol level of DFT.

Summary:
As for the energy relative to the elements: -0.991 eV per formula unit. The calculation puts the magnetization at 0.00 μB/cell.

Unit cell a=6.104 b=6.104 c=6.104 alpha=143.63 beta=143.63 gamma=52.38
Atoms (fractional coordinates):
Ba: 0.000 0.000 0.000
Hg: 0.304 0.304 0.000
P: 0.692 0.692 0.000



| no. | final energy (eV per atom) |
| --- | --- |
| 1 | -3.089 |
| 2 | -3.166 |